VASP calculation (PBE-GGA) on an optimized crystal structure of Zr2CrCdIn.

```
data_Zr2CrCdIn
_space_group_name_H-M_alt 'P 4/m m m'
_space_group_IT_number 123
_space_group_name_Hall '-P 4 2'
_cell_length_a 5.3277
_cell_length_b 5.3277
_cell_length_c 4.9339
_cell_angle_alpha 90.00
_cell_angle_beta 90.00
_cell_angle_gamma 90.00
loop_
_atom_site_label
_atom_site_fract_x
_atom_site_fract_y
_atom_site_fract_z
_atom_site_occupancy
Zr1 0.0000 0.5000 0.0000 1
Cr1 0.0000 0.0000 0.5000 1
Cd1 0.5000 0.5000 0.5000 1
In1 0.0000 0.0000 0.0000 1
```

energy relative to the elements = 103.9 kJ/mol of atoms
D(E_F) = 5.138 states/eV/cell